Compound: Er4MgCd2
Source: the Alexandria database
Functional: GGA-PBE
Structure: optimized geometry

Unit cell a=5.2103 b=5.2103 c=8.7434 alpha=72.67 beta=72.67 gamma=60.00
Atoms (fractional coordinates):
1 Er 0.6115 0.6115 0.1656
2 Er 0.8678 0.8678 0.3965
3 Er 0.3885 0.3885 0.8344
4 Er 0.1322 0.1322 0.6035
5 Mg 0.0000 0.0000 0.0000
6 Cd 0.7408 0.7408 0.7777
7 Cd 0.2592 0.2592 0.2223

Calculated values
Excess energy over the best structure of this formula in the dataset ... 0.00 eV/f.u.
Raw total energy ... -3.1795 eV/atom

Compound: ErMgCd4
Source: the Alexandria database
Functional: GGA-PBE
Structure: optimized geometry

Unit cell a=3.7693 b=6.0348 c=7.6396 alpha=111.38 beta=75.72 gamma=71.80
Atoms (fractional coordinates):
1 Cd 0.6565 0.0130 0.6739
2 Cd 0.8319 0.4949 0.8413
3 Cd 0.3435 0.9870 0.3261
4 Cd 0.1681 0.5051 0.1587
5 Er 0.5000 0.5000 0.5000
6 Mg 0.0000 0.0000 0.0000

Calculated values
Excess energy over the best structure of this formula in the dataset ... 0.00 eV/f.u.
Raw total energy ... -1.7769 eV/atom

Compound: Er3Mg2Cd3
Source: the Alexandria database
Functional: GGA-PBE
Structure: optimized geometry

Unit cell a=3.6655 b=5.2620 c=10.8961 alpha=103.97 beta=99.68 gamma=90.00
Atoms (fractional coordinates):
1 Cd 0.0000 0.5000 0.0000
2 Cd 0.1258 0.1258 0.2516
3 Cd 0.8742 0.8742 0.7484
4 Er 0.3749 0.3749 0.7497
5 Er 0.6251 0.6251 0.2503
6 Er 0.5000 0.0000 0.0000
7 Mg 0.2600 0.7600 0.5200
8 Mg 0.7400 0.2400 0.4800

Calculated values
Raw total energy ... -2.6570 eV/atom

Compound: Er5Mg4Cd
Source: the Alexandria database
Functional: GGA-PBE
Structure: optimized geometry

Unit cell a=3.7641 b=3.7641 c=18.6558 alpha=90.00 beta=90.00 gamma=90.00
Atoms (fractional coordinates):
1 Mg 0.0000 0.0000 0.3992
2 Mg 0.0000 0.0000 0.8006
3 Mg 0.0000 0.0000 0.6008
4 Mg 0.0000 0.0000 0.1994
5 Er 0.5000 0.5000 0.0980
6 Er 0.5000 0.5000 0.9020
7 Er 0.5000 0.5000 0.5000
8 Er 0.5000 0.5000 0.2985
9 Er 0.5000 0.5000 0.7015
10 Cd 0.0000 0.0000 0.0000

Calculated values
Raw total energy ... -3.1271 eV/atom

Compound: ErMg2Cd5
Source: the Alexandria database
Functional: GGA-PBE
Structure: optimized geometry

Unit cell a=7.8712 b=7.8712 c=8.2834 alpha=118.37 beta=118.37 gamma=90.00
Atoms (fractional coordinates):
1 Er 0.7500 0.7500 0.5000
2 Er 0.2500 0.2500 0.5000
3 Cd 0.4838 0.6943 0.6780
4 Cd 0.6943 0.1943 0.6780
5 Cd 0.5000 0.5000 0.0000
6 Cd 0.5162 0.3057 0.3220
7 Cd 0.0162 0.5162 0.3220
8 Cd 0.8057 0.0162 0.3220
9 Cd 0.0000 0.0000 0.0000
10 Cd 0.3057 0.8057 0.3220
11 Cd 0.9838 0.4838 0.6780
12 Cd 0.1943 0.9838 0.6780
13 Mg 0.8485 0.6515 0.0000
14 Mg 0.1515 0.3485 0.0000
15 Mg 0.3485 0.8485 0.0000
16 Mg 0.6515 0.1515 0.0000

Calculated values
Excess energy over the best structure of this formula in the dataset ... 0.92 eV/f.u.
Raw total energy ... -1.5946 eV/atom

Compound: Er5Mg2Cd
Source: the Alexandria database
Functional: GGA-PBE
Structure: optimized geometry

Unit cell a=7.7278 b=7.7278 c=9.3974 alpha=114.28 beta=114.28 gamma=90.00
Atoms (fractional coordinates):
1 Mg 0.6289 0.1289 0.0000
2 Mg 0.3711 0.8711 0.0000
3 Mg 0.8711 0.6289 0.0000
4 Mg 0.1289 0.3711 0.0000
5 Er 0.5039 0.6785 0.6825
6 Er 0.0000 0.0000 0.0000
7 Er 0.3215 0.8215 0.3175
8 Er 0.1785 0.0039 0.6825
9 Er 0.6785 0.1785 0.6825
10 Er 0.4961 0.3215 0.3175
11 Er 0.8215 0.9961 0.3175
12 Er 0.9961 0.4961 0.3175
13 Er 0.0039 0.5039 0.6825
14 Er 0.5000 0.5000 0.0000
15 Cd 0.2500 0.2500 0.5000
16 Cd 0.7500 0.7500 0.5000

Calculated values
Raw total energy ... -3.3432 eV/atom

Compound: Er3Mg3Cd
Source: the Alexandria database
Functional: GGA-PBE
Structure: optimized geometry

Unit cell a=7.5051 b=7.5051 c=6.8356 alpha=90.03 beta=90.03 gamma=89.15
Atoms (fractional coordinates):
1 Er 0.0001 0.0001 0.7495
2 Er 0.9989 0.5011 0.7538
3 Er 0.4989 0.0011 0.2462
4 Er 0.9999 0.9999 0.2505
5 Er 0.5011 0.9989 0.7538
6 Er 0.0011 0.4989 0.2462
7 Cd 0.2633 0.2633 0.9985
8 Cd 0.7367 0.7367 0.0015
9 Mg 0.2821 0.7179 0.5000
10 Mg 0.6695 0.3305 0.0000
11 Mg 0.3305 0.6695 0.0000
12 Mg 0.7179 0.2821 0.5000
13 Mg 0.7090 0.7090 0.4971
14 Mg 0.2910 0.2910 0.5029

Calculated values
Raw total energy ... -2.7731 eV/atom

Compound: Er3MgCd4
Source: the Alexandria database
Functional: GGA-PBE
Structure: optimized geometry

Unit cell a=3.3900 b=6.3244 c=10.4015 alpha=107.70 beta=99.38 gamma=90.00
Atoms (fractional coordinates):
1 Cd 0.6221 0.8629 0.2443
2 Cd 0.6221 0.3814 0.2443
3 Cd 0.3779 0.1371 0.7557
4 Cd 0.3779 0.6186 0.7557
5 Mg 0.5000 0.0000 0.0000
6 Er 0.2361 0.2361 0.4722
7 Er 0.0000 0.5000 0.0000
8 Er 0.7639 0.7639 0.5278

Calculated values
Excess energy over the best structure of this formula in the dataset ... 1.29 eV/f.u.
Raw total energy ... -2.5027 eV/atom

Compound: Er4Mg2Cd
Source: the Alexandria database
Functional: GGA-PBE
Structure: optimized geometry

Unit cell a=7.9619 b=6.2911 c=8.9591 alpha=90.00 beta=118.53 gamma=90.00
Atoms (fractional coordinates):
1 Er 0.5970 0.9955 0.2205
2 Er 0.5970 0.5045 0.2205
3 Er 0.4030 0.0045 0.7795
4 Er 0.4030 0.4955 0.7795
5 Er 0.0373 0.7500 0.8063
6 Er 0.9627 0.2500 0.1937
7 Er 0.9454 0.2500 0.5686
8 Er 0.0546 0.7500 0.4314
9 Mg 0.1990 0.2500 0.9843
10 Mg 0.4202 0.2500 0.4472
11 Mg 0.8010 0.7500 0.0157
12 Mg 0.5798 0.7500 0.5528
13 Cd 0.7621 0.2500 0.8047
14 Cd 0.2379 0.7500 0.1953

Calculated values
Excess energy over the best structure of this formula in the dataset ... 0.00 eV/f.u.
Raw total energy ... -3.1640 eV/atom

Compound: Er12Mg2Cd5
Source: the Alexandria database
Functional: GGA-PBE
Structure: optimized geometry

Unit cell a=10.5341 b=8.1256 c=8.2665 alpha=80.26 beta=90.00 gamma=130.41
Atoms (fractional coordinates):
1 Cd 0.2459 0.4917 0.4780
2 Cd 0.6314 0.2628 0.9008
3 Cd 0.7541 0.5083 0.5220
4 Cd 0.3686 0.7372 0.0992
5 Cd 0.0000 0.0000 0.5000
6 Er 0.0148 0.6444 0.8024
7 Er 0.6296 0.6444 0.8024
8 Er 0.5775 0.1550 0.2928
9 Er 0.1353 0.2706 0.8648
10 Er 0.4225 0.8450 0.7072
11 Er 0.6348 0.7873 0.3948
12 Er 0.1526 0.7873 0.3948
13 Er 0.8474 0.2127 0.6052
14 Er 0.3652 0.2127 0.6052
15 Er 0.8647 0.7294 0.1352
16 Er 0.9852 0.3556 0.1976
17 Er 0.3704 0.3556 0.1976
18 Mg 0.2734 0.0000 0.0000
19 Mg 0.7266 0.0000 0.0000

Calculated values
Raw total energy ... -3.3626 eV/atom

Compound: ErMg3Cd3
Source: the Alexandria database
Functional: GGA-PBE
Structure: optimized geometry

Unit cell a=8.6925 b=8.6925 c=8.6925 alpha=90.00 beta=90.00 gamma=90.00
Atoms (fractional coordinates):
1 Cd 0.8956 0.9938 0.1877
2 Cd 0.5062 0.8123 0.3956
3 Cd 0.3956 0.5062 0.8123
4 Cd 0.1044 0.4938 0.3123
5 Cd 0.0062 0.6877 0.6044
6 Cd 0.1877 0.8956 0.9938
7 Cd 0.4938 0.3123 0.1044
8 Cd 0.3123 0.1044 0.4938
9 Cd 0.9938 0.1877 0.8956
10 Cd 0.6877 0.6044 0.0062
11 Cd 0.8123 0.3956 0.5062
12 Cd 0.6044 0.0062 0.6877
13 Mg 0.8701 0.8701 0.8701
14 Mg 0.3091 0.8091 0.6909
15 Mg 0.3315 0.1685 0.8315
16 Mg 0.3701 0.6299 0.1299
17 Mg 0.6685 0.6685 0.6685
18 Mg 0.8315 0.3315 0.1685
19 Mg 0.1685 0.8315 0.3315
20 Mg 0.8091 0.6909 0.3091
21 Mg 0.6909 0.3091 0.8091
22 Mg 0.1299 0.3701 0.6299
23 Mg 0.6299 0.1299 0.3701
24 Mg 0.1909 0.1909 0.1909
25 Er 0.0478 0.5478 0.9522
26 Er 0.9522 0.0478 0.5478
27 Er 0.5478 0.9522 0.0478
28 Er 0.4522 0.4522 0.4522

Calculated values
Excess energy over the best structure of this formula in the dataset ... 0.24 eV/f.u.
Raw total energy ... -1.8343 eV/atom

Compound: Er3Mg2Cd6
Source: the Alexandria database
Functional: GGA-PBE
Structure: optimized geometry

Unit cell a=4.1601 b=4.1601 c=16.6194 alpha=97.19 beta=97.19 gamma=90.00
Atoms (fractional coordinates):
1 Er 0.1752 0.1752 0.3504
2 Er 0.0000 0.0000 0.0000
3 Er 0.8248 0.8248 0.6496
4 Cd 0.5748 0.0748 0.1496
5 Cd 0.4252 0.9252 0.8504
6 Cd 0.2735 0.2735 0.5471
7 Cd 0.7265 0.7265 0.4529
8 Cd 0.9252 0.4252 0.8504
9 Cd 0.0748 0.5748 0.1496
10 Mg 0.3623 0.3623 0.7245
11 Mg 0.6377 0.6377 0.2755

Calculated values
Raw total energy ... -2.0482 eV/atom

Number 1: formation energy -0.580 eV per formula unit, M_tot 0.00 μB/atom, calculated volume 27.6 Å³/atom. Number 2: formation energy -0.843 eV per formula unit, M_tot 0.00 μB/atom, calculated volume 23.4 Å³/atom. Number 3: formation energy -1.633 eV per formula unit, M_tot 0.00 μB/atom, calculated volume 25.1 Å³/atom. Number 4: formation energy -1.163 eV per formula unit, M_tot 0.00 μB/atom, calculated volume 26.4 Å³/atom. Number 5: formation energy -0.429 eV per formula unit, M_tot 0.00 μB/atom, calculated volume 23.8 Å³/atom. Number 6: formation energy 0.173 eV per formula unit, M_tot 0.00 μB/atom, calculated volume 28.5 Å³/atom. Number 7: formation energy -0.025 eV per formula unit, M_tot 0.04 μB/atom, calculated volume 27.5 Å³/atom. Number 8: formation energy -1.078 eV per formula unit, M_tot 0.00 μB/atom, calculated volume 26.2 Å³/atom. Number 9: formation energy 0.208 eV per formula unit, M_tot 0.00 μB/atom, calculated volume 28.2 Å³/atom. Number 10: formation energy -1.371 eV per formula unit, M_tot 0.00 μB/atom, calculated volume 27.6 Å³/atom. Number 11: formation energy -0.748 eV per formula unit, M_tot 0.00 μB/atom, calculated volume 23.5 Å³/atom. Number 12: formation energy -0.162 eV per formula unit, M_tot 0.00 μB/atom, calculated volume 25.7 Å³/atom.